(1)
Computed, not measured: a geometry-optimized Ni10PdRh4 structure at the PBE level of DFT.

Computed properties:
The calculation puts the density of states at the Fermi level at 21.8 states/eV/f.u. The energy of formation is 103.8 meV/atom. The calculation puts the electronic total energy at -6.057 eV/atom.

a b c (Å): 11.0381 7.0763 4.8385
angles (deg): 90.00 100.78 90.00
With the nearest neighbours (Å) after each atom.
Space group C2/m (No. 12)
Inequivalent atoms, fractional coordinates:
Ni  0.0000  0.1679  0.0000  5 Ni 2.36-2.58
Ni  0.1003  0.3343  0.4003  5 Ni 2.34-2.58
Ni  0.2008  0.1668  0.8004  5 Ni 2.35-2.58
Pd  0.0000  0.0000  0.5000  2 Rh 2.59, 12 Ni 2.69-2.70
Rh  0.0996  0.5000  0.8975  2 Rh 2.55-2.57, 12 Ni 2.67-2.70
Rh  0.2005  0.0000  0.2966  1 Rh 2.55, 1 Pd 2.59, 12 Ni 2.67-2.71

=====

(2)
Computed, not measured: a geometry-optimized Ni3Pd12Rh5 structure at the PBE level of DFT.

Computed properties:
The calculation puts the density of states at the Fermi level at 32.7 states/eV/f.u. The energy of formation is 811.3 meV/atom. The calculation puts the electronic total energy at -5.009 eV/atom.

a b c (Å): 14.5249 14.5249 14.5249
angles (deg): 90.00 90.00 90.00
With the nearest neighbours (Å) after each atom.
Space group Ia-3d (No. 230)
Inequivalent atoms, fractional coordinates:
Ni  0.0000  0.2500  0.1250  8 Pd 2.49-2.72
Pd  0.0122  0.0809  0.6515  2 Rh 2.47-2.50, 2 Ni 2.49-2.72, 1 Pd 2.61
Rh  0.0000  0.0000  0.0000  6 Pd 2.50
Rh  0.0000  0.2500  0.3750  4 Pd 2.47

=====

(3)
Computed, not measured: a geometry-optimized Ni2PdRh structure at the PBE level of DFT.

Computed properties:
The calculation puts the density of states at the Fermi level at 7.9 states/eV/f.u. The energy of formation is 77.3 meV/atom. The calculation puts the electronic total energy at -5.949 eV/atom.

a b c (Å): 3.7986 3.7986 3.6124
angles (deg): 90.00 90.00 90.00
With the nearest neighbours (Å) after each atom.
Space group P4/mmm (No. 123)
Inequivalent atoms, fractional coordinates:
Ni  0.0000  0.5000  0.0000  4 Rh 2.62, 4 Pd 2.62, 4 Ni 2.69
Pd  0.0000  0.0000  0.5000  8 Ni 2.62, 4 Rh 2.69
Rh  0.5000  0.5000  0.5000  8 Ni 2.62, 4 Pd 2.69

=====

(4)
Computed, not measured: a geometry-optimized Ni2Pd4Rh structure at the PBE level of DFT.

Computed properties:
The calculation puts the density of states at the Fermi level at 10.9 states/eV/f.u. The energy of formation is 222.5 meV/atom. The calculation puts the electronic total energy at -5.447 eV/atom. For the energy above the most stable polymorph in this dataset, the calculation gives 0 meV/atom.

a b c (Å): 5.0711 9.4981 17.1718
angles (deg): 90.00 90.00 90.00
With the nearest neighbours (Å) after each atom.
Space group Fddd (No. 70, origin choice 2)
Inequivalent atoms, fractional coordinates:
Ni  0.1250  0.1250  0.3501  6 Pd 2.50-2.59, 2 Ni 2.68, 2 Rh 2.73
Pd  0.0034  0.2536  0.4720  3 Ni 2.50-2.59, 4 Pd 2.65-2.75, 1 Rh 2.77
Rh  0.1250  0.1250  0.6250  4 Ni 2.73, 8 Pd 2.77-2.96

=====

(5)
Computed, not measured: a geometry-optimized NiPdRh2 structure at the PBE level of DFT.

Computed properties:
The calculation puts the density of states at the Fermi level at 7.4 states/eV/f.u. The energy of formation is 485.5 meV/atom. The calculation puts the electronic total energy at -5.934 eV/atom. For the energy above the most stable polymorph in this dataset, the calculation gives 409 meV/atom.

a b c (Å): 6.8668 6.8668 5.1094
angles (deg): 90.00 90.00 90.00
With the nearest neighbours (Å) after each atom.
Space group I-42d (No. 122)
Inequivalent atoms, fractional coordinates:
Ni  0.0000  0.0000  0.0000  4 Rh 2.35, 2 Pd 2.55
Pd  0.0000  0.0000  0.5000  2 Ni 2.55, 4 Rh 2.68
Rh  0.2147  0.7500  0.1250  2 Ni 2.35, 2 Rh 2.60

=====

(6)
Computed, not measured: a geometry-optimized Ni8PdRh2 structure at the PBE level of DFT.

Computed properties:
The calculation puts the density of states at the Fermi level at 17.3 states/eV/f.u. The energy of formation is 177.3 meV/atom. The calculation puts the electronic total energy at -5.836 eV/atom.

a b c (Å): 13.3425 5.0072 4.3750
angles (deg): 90.00 109.03 90.00
With the nearest neighbours (Å) after each atom.
Space group C2/m (No. 12)
Inequivalent atoms, fractional coordinates:
Ni  0.0003  0.0000  0.2478  6 Ni 2.17-2.40
Ni  0.1332  0.2624  0.6343  7 Ni 2.38-2.64, 3 Rh 2.59-2.63
Ni  0.2012  0.5000  0.2026  6 Ni 2.47-2.64, 4 Rh 2.51-2.62, 1 Pd 2.54
Pd  0.0000  0.5000  0.0000  6 Ni 2.54-2.73
Rh  0.1842  0.0000  0.1840  12 Ni 2.51-2.63

=====

(7)
Computed, not measured: a geometry-optimized Ni14PdRh structure at the PBE level of DFT.

Computed properties:
The calculation puts the density of states at the Fermi level at 27.6 states/eV/f.u. The energy of formation is 45.1 meV/atom. The calculation puts the electronic total energy at -5.798 eV/atom.

a b c (Å): 8.2463 5.1121 8.7379
angles (deg): 90.00 90.00 90.00
With the nearest neighbours (Å) after each atom.
Space group Amm2 (No. 38)
Inequivalent atoms, fractional coordinates:
Ni  0.0000  0.0000  0.0000  12 Ni 2.48-2.56
Ni  0.0000  0.0000  0.4998  12 Ni 2.47-2.56
Ni  0.0000  0.2495  0.2491  12 Ni 2.49-2.56
Ni  0.2417  0.2482  0.4190  10 Ni 2.47-2.58, 1 Rh 2.58, 1 Pd 2.59
Ni  0.2437  0.0000  0.6654  11 Ni 2.48-2.57, 1 Pd 2.59
Ni  0.2467  0.0000  0.1664  11 Ni 2.50-2.56, 1 Rh 2.57
Ni  0.5000  0.2496  0.0860  2 Rh 2.52-2.54, 2 Pd 2.52-2.54, 8 Ni 2.55-2.58
Pd  0.5000  0.0000  0.8368  10 Ni 2.52-2.59, 2 Rh 2.56
Rh  0.5000  0.0000  0.3371  10 Ni 2.52-2.58, 2 Pd 2.56

=====

(8)
Computed, not measured: a geometry-optimized NiPd6Rh structure at the PBE level of DFT.

Computed properties:
The calculation puts the density of states at the Fermi level at 14.2 states/eV/f.u. The energy of formation is 234.7 meV/atom. The calculation puts the electronic total energy at -5.302 eV/atom. For the energy above the most stable polymorph in this dataset, the calculation gives 182 meV/atom.

a b c (Å): 5.1287 9.3802 5.1675
angles (deg): 90.00 92.87 90.00
With the nearest neighbours (Å) after each atom.
Space group C2/m (No. 12)
Inequivalent atoms, fractional coordinates:
Ni  0.0000  0.0000  0.0000  2 Rh 2.58, 8 Pd 2.60-2.89
Pd  0.0092  0.5000  0.2497  6 Pd 2.58-2.77, 1 Rh 2.77, 2 Ni 2.85-2.89
Pd  0.1638  0.2275  0.2452  6 Pd 2.60-2.77, 1 Ni 2.60, 1 Rh 2.67
Rh  0.0000  0.0000  0.5000  2 Ni 2.58, 6 Pd 2.67-2.77

=====

(9)
Computed, not measured: a geometry-optimized Ni2Pd4Rh structure at the PBE level of DFT.

Computed properties:
The calculation puts the density of states at the Fermi level at 14.9 states/eV/f.u. The energy of formation is 337.3 meV/atom. The calculation puts the electronic total energy at -5.332 eV/atom. For the energy above the most stable polymorph in this dataset, the calculation gives 115 meV/atom.

a b c (Å): 7.4867 7.4867 7.4738
angles (deg): 90.00 90.00 90.00
With the nearest neighbours (Å) after each atom.
Space group I-42d (No. 122)
Inequivalent atoms, fractional coordinates:
Ni  0.1370  0.7500  0.1250  8 Pd 2.52-2.63
Pd  0.0811  0.6634  0.4453  4 Ni 2.52-2.63, 2 Rh 2.62-2.66, 2 Pd 2.73-2.74
Rh  0.0000  0.0000  0.5000  8 Pd 2.62-2.66